Entry 1:
# LiZr2Cu PBE relaxed
data_LiZr2Cu
_chemical_formula_sum 'Li4 Zr8 Cu4'
_symmetry_space_group_name_H-M 'I -4 2 d'
_symmetry_Int_Tables_number 122
_symmetry_space_group_name_Hall 'I -4 2bw'
_cell_length_a 7.509
_cell_length_b 7.509
_cell_length_c 5.469
_cell_angle_alpha 90.00
_cell_angle_beta 90.00
_cell_angle_gamma 90.00
loop_
_atom_site_label
_atom_site_type_symbol
_atom_site_fract_x
_atom_site_fract_y
_atom_site_fract_z
Li1 Li 0.000 0.000 0.000
Zr1 Zr 0.230 0.250 0.625
Cu1 Cu 0.000 0.000 0.500
# Distance to the lowest polymorph of the same formula ... 328.1 meV per atom
# Formation enthalpy at 0 K ... 0.3418 eV per atom
# Calculated total energy ... -5.43 eV per atom


Entry 2:
# CaTc2Ge3 PBE relaxed
data_CaTc2Ge3
_chemical_formula_sum 'Ca4 Tc8 Ge12'
_symmetry_space_group_name_H-M 'C m c m'
_symmetry_Int_Tables_number 63
_symmetry_space_group_name_Hall '-C 2c 2'
_cell_length_a 9.822
_cell_length_b 7.770
_cell_length_c 5.817
_cell_angle_alpha 90.00
_cell_angle_beta 90.00
_cell_angle_gamma 90.00
loop_
_atom_site_label
_atom_site_type_symbol
_atom_site_fract_x
_atom_site_fract_y
_atom_site_fract_z
Ca1 Ca 0.000 0.148 0.250
Tc1 Tc 0.206 0.500 0.000
Ge1 Ge 0.000 0.473 0.750
Ge2 Ge 0.175 0.215 0.750
# Formation enthalpy at 0 K ... -0.2082 eV per atom
# Calculated total energy ... -6.31 eV per atom


Entry 3:
# HfCo2S PBE relaxed
data_HfCo2S
_chemical_formula_sum 'Hf4 Co8 S4'
_symmetry_space_group_name_H-M 'I -4 2 d'
_symmetry_Int_Tables_number 122
_symmetry_space_group_name_Hall 'I -4 2bw'
_cell_length_a 4.119
_cell_length_b 4.119
_cell_length_c 14.342
_cell_angle_alpha 90.00
_cell_angle_beta 90.00
_cell_angle_gamma 90.00
loop_
_atom_site_label
_atom_site_type_symbol
_atom_site_fract_x
_atom_site_fract_y
_atom_site_fract_z
Hf1 Hf 0.000 0.000 0.000
Co1 Co 0.130 0.250 0.625
S1 S 0.000 0.000 0.500
# Calculated total energy ... -7.24 eV per atom
# Energy relative to the elements, uncorrected ... -171.3 meV/atom


Entry 4:
# HfSe3 PBE relaxed
data_HfSe3
_chemical_formula_sum 'Hf2 Se6'
_symmetry_space_group_name_H-M 'I 4/m m m'
_symmetry_Int_Tables_number 139
_symmetry_space_group_name_Hall '-I 4 2'
_cell_length_a 4.229
_cell_length_b 4.229
_cell_length_c 8.844
_cell_angle_alpha 90.00
_cell_angle_beta 90.00
_cell_angle_gamma 90.00
loop_
_atom_site_label
_atom_site_type_symbol
_atom_site_fract_x
_atom_site_fract_y
_atom_site_fract_z
Hf1 Hf 0.000 0.000 0.000
Se1 Se 0.000 0.000 0.500
Se2 Se 0.000 0.500 0.250
# Calculated total energy ... -5.31 eV per atom
# Energy relative to the elements, uncorrected ... -204.9 meV/atom


Entry 5:
# RbGaB3 PBE relaxed
data_RbGaB3
_chemical_formula_sum 'Rb1 Ga1 B3'
_symmetry_space_group_name_H-M 'P m -3 m'
_symmetry_Int_Tables_number 221
_symmetry_space_group_name_Hall '-P 4 2 3'
_cell_length_a 5.146
_cell_length_b 5.146
_cell_length_c 5.146
_cell_angle_alpha 90.00
_cell_angle_beta 90.00
_cell_angle_gamma 90.00
loop_
_atom_site_label
_atom_site_type_symbol
_atom_site_fract_x
_atom_site_fract_y
_atom_site_fract_z
Rb1 Rb 0.000 0.000 0.000
Ga1 Ga 0.500 0.500 0.500
B1 B 0.000 0.000 0.500
# Distance to the lowest polymorph of the same formula ... 1480.5 meV per atom
# Formation enthalpy at 0 K ... 3.2991 eV per atom
# Calculated total energy ... -1.51 eV per atom


Entry 6:
# Np2ZnRu PBE relaxed
data_Np2ZnRu
_chemical_formula_sum 'Np2 Zn1 Ru1'
_symmetry_space_group_name_H-M 'P 4/m m m'
_symmetry_Int_Tables_number 123
_symmetry_space_group_name_Hall '-P 4 2'
_cell_length_a 3.700
_cell_length_b 3.700
_cell_length_c 5.727
_cell_angle_alpha 90.00
_cell_angle_beta 90.00
_cell_angle_gamma 90.00
loop_
_atom_site_label
_atom_site_type_symbol
_atom_site_fract_x
_atom_site_fract_y
_atom_site_fract_z
Np1 Np 0.000 0.000 0.249
Zn1 Zn 0.500 0.500 0.500
Ru1 Ru 0.500 0.500 0.000
# Formation enthalpy at 0 K ... 0.1718 eV per atom
# Calculated total energy ... -8.94 eV per atom


Number 1: spin magnetization 0.00 μB per cell. Number 2: spin magnetization 0.00 μB per cell. Number 3: spin magnetization 0.00 μB per cell. Number 4: spin magnetization 0.00 μB per cell. Number 5: spin magnetization 0.85 μB per cell. Number 6: spin magnetization 7.20 μB per cell.